[1]
Li9Co7O16 | PBE with a Hubbard U | relaxed

DOS at the Fermi energy = 0.1739 states/eV/atom
space group = R-3m

Lattice parameters (Å, degrees): 10.0979 10.0979 10.0979 33.07 33.07 33.07
Last column: nearest neighbours and their distance in Å.
Fractional positions:
Li: 0.0000 0.0000 0.0000  6 O 2.04
Li: 0.2485 0.2485 0.7509  6 O 2.06-2.18
Li: 0.2485 0.7509 0.2485  6 O 2.06-2.18
Li: 0.2491 0.7515 0.7515  6 O 2.06-2.18
Li: 0.2512 0.2512 0.2512  6 O 2.04-2.16
Li: 0.7488 0.7488 0.7488  6 O 2.04-2.16
Li: 0.7509 0.2485 0.2485  6 O 2.06-2.18
Li: 0.7515 0.2491 0.7515  6 O 2.06-2.18
Li: 0.7515 0.7515 0.2491  6 O 2.06-2.18
Co: 0.0000 0.0000 0.5000  6 O 2.01-2.03
Co: 0.0000 0.5000 0.0000  6 O 2.01-2.03
Co: 0.0000 0.5000 0.5000  6 O 1.90-1.95
Co: 0.5000 0.0000 0.0000  6 O 2.01-2.03
Co: 0.5000 0.0000 0.5000  6 O 1.90-1.95
Co: 0.5000 0.5000 0.0000  6 O 1.90-1.95
Co: 0.5000 0.5000 0.5000  6 O 1.94
O: 0.1259 0.1259 0.1259  3 Co 2.03, 3 Li 2.06
O: 0.1394 0.6226 0.6226  3 Co 1.94-2.01, 3 Li 2.09-2.16
O: 0.1423 0.1423 0.6089  2 Co 1.90, 2 Li 2.04
O: 0.1423 0.6089 0.1423  2 Co 1.90, 2 Li 2.04
O: 0.3690 0.3690 0.3690  3 Co 1.95, 3 Li 2.14
O: 0.3774 0.3774 0.8606  3 Co 1.94-2.01, 3 Li 2.09-2.16
O: 0.3774 0.8606 0.3774  3 Co 1.94-2.01, 3 Li 2.09-2.16
O: 0.3911 0.8577 0.8577  2 Co 1.90, 2 Li 2.04
O: 0.6089 0.1423 0.1423  2 Co 1.90, 2 Li 2.04
O: 0.6226 0.1394 0.6226  3 Co 1.94-2.01, 3 Li 2.09-2.16
O: 0.6226 0.6226 0.1394  3 Co 1.94-2.01, 3 Li 2.09-2.16
O: 0.6310 0.6310 0.6310  3 Co 1.95, 3 Li 2.14
O: 0.8577 0.3911 0.8577  2 Co 1.90, 2 Li 2.04
O: 0.8577 0.8577 0.3911  2 Co 1.90, 2 Li 2.04
O: 0.8606 0.3774 0.3774  3 Co 1.94-2.01, 3 Li 2.09-2.16
O: 0.8741 0.8741 0.8741  3 Co 2.03, 3 Li 2.06

***

[2]
Li9Co2O8 | PBE with a Hubbard U | relaxed

space group = C2

Lattice parameters (Å, degrees): 6.3946 6.3946 4.7234 90.74 90.74 89.31
Last column: nearest neighbours and their distance in Å.
Fractional positions:
Li: 0.0000 0.0000 0.0000  2 O 2.01
Li: 0.1644 0.3275 0.9296  4 O 1.92-2.10
Li: 0.1980 0.3492 0.4339  4 O 1.90-2.06
Li: 0.3815 0.6185 0.0000  4 O 1.98-2.08
Li: 0.4563 0.1105 0.4966  4 O 2.00-2.04
Li: 0.6508 0.8020 0.5661  4 O 1.90-2.06
Li: 0.6725 0.8356 0.0704  4 O 1.92-2.10
Li: 0.8895 0.5437 0.5034  4 O 2.00-2.04
Li: 0.8965 0.1035 0.5000  4 O 1.91-1.93
Co: 0.1817 0.8183 0.5000  4 O 1.85-1.92
Co: 0.6774 0.3226 0.0000  4 O 1.80-1.85
O: 0.1672 0.5725 0.7002  1 Co 1.85, 4 Li 1.90-2.00
O: 0.1719 0.0920 0.6727  1 Co 1.92, 5 Li 1.92-2.02
O: 0.4275 0.8328 0.2998  1 Co 1.85, 4 Li 1.90-2.00
O: 0.4346 0.3300 0.1888  1 Co 1.80, 1 Li 1.92
O: 0.6700 0.5654 0.8112  1 Co 1.80, 1 Li 1.92
O: 0.6919 0.0768 0.7892  1 Co 1.85, 4 Li 1.91-2.06
O: 0.9080 0.8281 0.3273  1 Co 1.92, 5 Li 1.92-2.02
O: 0.9232 0.3081 0.2108  1 Co 1.85, 4 Li 1.91-2.06

***

[3]
Li7Co2O6 | PBE with a Hubbard U | relaxed

space group = P1

Lattice parameters (Å, degrees): 5.2810 5.5646 6.9019 108.98 90.51 117.78
Last column: nearest neighbours and their distance in Å.
Fractional positions:
Li: 0.0000 0.0000 0.0000  4 O 1.95-2.16
Li: 0.0116 0.5022 0.8989  3 O 1.85-1.93
Li: 0.0660 0.8538 0.3254  3 O 1.93-2.08
Li: 0.2637 0.4892 0.4419  3 O 1.86-2.03
Li: 0.5597 0.6914 0.1098  4 O 1.98-2.14
Li: 0.7016 0.9918 0.5362  4 O 1.96-2.19
Li: 0.8918 0.7241 0.6355  4 O 1.97-2.08
Co: 0.3819 0.2299 0.7326  3 O 1.81-1.89
Co: 0.6174 0.2140 0.2331  3 O 1.77-1.81
O: 0.0036 0.1480 0.7794  4 Li 1.85-2.02, 1 Co 1.89
O: 0.2879 0.8543 0.5495  4 Li 1.86-2.04, 1 Co 1.87
O: 0.2938 0.8779 0.1025  1 Co 1.77, 2 Li 1.93-1.96
O: 0.6438 0.5677 0.3409  1 Co 1.80
O: 0.7114 0.5811 0.8531  1 Co 1.81, 4 Li 1.88-1.98
O: 0.8966 0.1310 0.2864  1 Co 1.81, 1 Li 1.96

***

[4]
LiCo4O8 | PBE with a Hubbard U | relaxed

space group = C2/m

Lattice parameters (Å, degrees): 5.6371 5.6371 9.9389 108.00 108.00 60.49
Last column: nearest neighbours and their distance in Å.
Fractional positions:
Li: 0.2496 0.2496 0.2502  6 O 2.11-2.13
Li: 0.7504 0.7504 0.7498  6 O 2.11-2.13
Co: 0.0000 0.0000 0.5000  6 O 1.89-1.94
Co: 0.0000 0.5000 0.0000  6 O 1.88-1.90
Co: 0.0000 0.5000 0.5000  6 O 1.88-1.90
Co: 0.2499 0.2499 0.7500  6 O 1.91-1.92
Co: 0.5000 0.0000 0.0000  6 O 1.88-1.90
Co: 0.5000 0.0000 0.5000  6 O 1.88-1.90
Co: 0.5000 0.5000 0.0000  6 O 1.89-1.94
Co: 0.7501 0.7501 0.2500  6 O 1.91-1.92
O: 0.0946 0.6414 0.3855  3 Co 1.89-1.92, 1 Li 2.11
O: 0.1311 0.1311 0.3924  3 Co 1.90-1.94, 1 Li 2.12
O: 0.1415 0.5948 0.8856  3 Co 1.89-1.92, 1 Li 2.11
O: 0.1482 0.1482 0.8822  3 Co 1.88-1.91
O: 0.3511 0.3511 0.6169  3 Co 1.88-1.91
O: 0.3586 0.9054 0.6145  3 Co 1.89-1.92, 1 Li 2.11
O: 0.3689 0.3689 0.1078  3 Co 1.90-1.94, 1 Li 2.13
O: 0.4052 0.8585 0.1144  3 Co 1.89-1.92, 1 Li 2.11
O: 0.5948 0.1415 0.8856  3 Co 1.89-1.92, 1 Li 2.11
O: 0.6311 0.6311 0.8922  3 Co 1.90-1.94, 1 Li 2.13
O: 0.6414 0.0946 0.3855  3 Co 1.89-1.92, 1 Li 2.11
O: 0.6489 0.6489 0.3831  3 Co 1.88-1.91
O: 0.8518 0.8518 0.1178  3 Co 1.88-1.91
O: 0.8585 0.4052 0.1144  3 Co 1.89-1.92, 1 Li 2.11
O: 0.8689 0.8689 0.6076  3 Co 1.90-1.94, 1 Li 2.12
O: 0.9054 0.3586 0.6145  3 Co 1.89-1.92, 1 Li 2.11

***

[5]
Li2CoO3 | PBE with a Hubbard U | relaxed

DOS at the Fermi energy = 0.2519 states/eV/atom
space group = P-3m1

Lattice parameters (Å, degrees): 2.8210 2.8210 14.8605 90.00 90.00 120.00
Last column: nearest neighbours and their distance in Å.
Fractional positions:
Li: 0.0000 0.0000 0.0000  6 O 2.10
Li: 0.0000 0.0000 0.5000  6 O 2.12
Li: 0.3333 0.6667 0.3276  6 O 2.03-2.21
Li: 0.6667 0.3333 0.6724  6 O 2.03-2.21
Co: 0.3333 0.6667 0.8405  6 O 1.91-1.93
Co: 0.6667 0.3333 0.1595  6 O 1.91-1.93
O: 0.0000 0.0000 0.2273  3 Co 1.91
O: 0.0000 0.0000 0.7727  3 Co 1.91
O: 0.3333 0.6667 0.0895  3 Co 1.93, 3 Li 2.10
O: 0.3333 0.6667 0.5909  6 Li 2.03-2.12
O: 0.6667 0.3333 0.4091  6 Li 2.03-2.12
O: 0.6667 0.3333 0.9105  3 Co 1.93, 3 Li 2.10

***

[6]
Li5Co3O8 | PBE with a Hubbard U | relaxed

DOS at the Fermi energy = 0.1983 states/eV/atom
space group = P2/m

Lattice parameters (Å, degrees): 4.8984 5.6795 5.0122 90.00 109.66 90.00
Last column: nearest neighbours and their distance in Å.
Fractional positions:
Li: 0.0000 0.0000 0.0000  6 O 2.02-2.07
Li: 0.0000 0.2402 0.5000  6 O 2.09-2.15
Li: 0.0000 0.7598 0.5000  6 O 2.09-2.15
Li: 0.5000 0.0000 0.5000  6 O 1.99-2.15
Li: 0.5000 0.5000 0.5000  6 O 2.03-2.13
Co: 0.0000 0.5000 0.0000  6 O 1.88-1.93
Co: 0.5000 0.2466 0.0000  6 O 1.89-1.95
Co: 0.5000 0.7534 0.0000  6 O 1.89-1.95
O: 0.2478 0.2661 0.2186  2 Co 1.88-1.91, 2 Li 2.02-2.03
O: 0.2478 0.7339 0.2186  2 Co 1.88-1.91, 2 Li 2.02-2.03
O: 0.2576 0.5000 0.7824  3 Co 1.93-1.95, 3 Li 2.13-2.14
O: 0.2831 0.0000 0.7729  2 Co 1.89, 4 Li 1.99-2.09
O: 0.7169 0.0000 0.2271  2 Co 1.89, 4 Li 1.99-2.09
O: 0.7424 0.5000 0.2176  3 Co 1.93-1.95, 3 Li 2.13-2.14
O: 0.7522 0.2661 0.7814  2 Co 1.88-1.91, 2 Li 2.02-2.03
O: 0.7522 0.7339 0.7814  2 Co 1.88-1.91, 2 Li 2.02-2.03

***

[7]
LiCo8O9 | PBE with a Hubbard U | relaxed

DOS at the Fermi energy = 0.3654 states/eV/atom
space group = P-1

Lattice parameters (Å, degrees): 5.2107 5.2135 6.7499 75.18 82.63 80.35
Last column: nearest neighbours and their distance in Å.
Fractional positions:
Li: 0.0000 0.0000 0.0000  6 O 2.17-2.18
Co: 0.1092 0.5549 0.7825  6 O 2.10-2.16
Co: 0.2203 0.1083 0.5579  6 O 2.09-2.16
Co: 0.3322 0.6696 0.3295  6 O 2.09-2.15
Co: 0.4438 0.2199 0.1086  6 O 2.10-2.16
Co: 0.5562 0.7801 0.8914  6 O 2.10-2.16
Co: 0.6678 0.3304 0.6705  6 O 2.09-2.15
Co: 0.7797 0.8917 0.4421  6 O 2.09-2.16
Co: 0.8908 0.4451 0.2175  6 O 2.10-2.16
O: 0.0000 0.5000 0.5000  6 Co 2.14-2.16
O: 0.1140 0.0579 0.2840  5 Co 2.09-2.13, 1 Li 2.18
O: 0.2254 0.6033 0.0565  5 Co 2.10-2.14, 1 Li 2.17
O: 0.3387 0.1688 0.8297  5 Co 2.09-2.13, 1 Li 2.17
O: 0.4433 0.7195 0.6121  6 Co 2.13-2.16
O: 0.5567 0.2805 0.3879  6 Co 2.13-2.16
O: 0.6613 0.8312 0.1703  5 Co 2.09-2.13, 1 Li 2.17
O: 0.7746 0.3967 0.9435  5 Co 2.10-2.14, 1 Li 2.17
O: 0.8860 0.9421 0.7160  5 Co 2.09-2.13, 1 Li 2.18

***

| no. | final energy (eV per atom) |
| --- | --- |
| 1 | -5.535 |
| 2 | -5.092 |
| 3 | -5.102 |
| 4 | -5.675 |
| 5 | -5.288 |
| 6 | -5.484 |
| 7 | -5.916 |